Entry 1:
{
  "formula": "HfThFe4",
  "functional": "PBE-GGA",
  "state": "optimized geometry",
  "cell": [[0.000, 3.605, 3.605], [3.605, 0.000, 3.605], [3.605, 3.605, 0.000]],
  "species": ["Hf", "Th", "Fe", "Fe", "Fe", "Fe"],
  "fractional_positions": [[0.000, 0.000, 0.000], [0.250, 0.250, 0.250], [0.122, 0.626, 0.626], [0.626, 0.122, 0.626], [0.626, 0.626, 0.122], [0.626, 0.626, 0.626]],
  "e_tot_ev_per_atom": -8.64,
  "dos_at_fermi_per_ev_cell": 6.79,
  "m_tot_mub_per_cell": 6.48,
  "space_group": "F-43m, No. 216",
  "density_g_cm3": 11.24
}


Entry 2:
{
  "formula": "Hf4TiFe",
  "functional": "PBE-GGA",
  "state": "optimized geometry",
  "cell": [[3.904, -5.952, 0.000], [3.904, 5.952, 0.000], [-1.923, 0.000, 5.120]],
  "species": ["Hf", "Hf", "Hf", "Hf", "Hf", "Hf", "Hf", "Hf", "Ti", "Ti", "Fe", "Fe"],
  "fractional_positions": [[0.068, 0.711, 0.939], [0.197, 0.368, 0.652], [0.289, 0.932, 0.561], [0.368, 0.197, 0.152], [0.632, 0.803, 0.848], [0.711, 0.068, 0.439], [0.803, 0.632, 0.348], [0.932, 0.289, 0.061], [0.382, 0.618, 0.250], [0.618, 0.382, 0.750], [0.002, 0.998, 0.750], [0.998, 0.002, 0.250]],
  "e_tot_ev_per_atom": -9.36,
  "dos_at_fermi_per_ev_cell": 15.77,
  "m_tot_mub_per_cell": 0.01,
  "space_group": "C2/c, No. 15",
  "density_g_cm3": 11.41
}


Entry 3:
{
  "formula": "HfTi2Fe2",
  "functional": "PBE-GGA",
  "state": "optimized geometry",
  "cell": [[7.074, 0.000, 0.000], [0.000, 7.074, 0.000], [0.000, 0.000, 3.008]],
  "species": ["Hf", "Hf", "Ti", "Ti", "Ti", "Ti", "Fe", "Fe", "Fe", "Fe"],
  "fractional_positions": [[0.000, 0.000, 0.000], [0.500, 0.500, 0.000], [0.150, 0.350, 0.500], [0.350, 0.850, 0.500], [0.650, 0.150, 0.500], [0.850, 0.650, 0.500], [0.140, 0.640, 0.000], [0.360, 0.140, 0.000], [0.640, 0.860, 0.000], [0.860, 0.360, 0.000]],
  "e_tot_ev_per_atom": -8.65,
  "dos_at_fermi_per_ev_cell": 12.15,
  "m_tot_mub_per_cell": 0.00,
  "space_group": "P4/mbm, No. 127",
  "density_g_cm3": 8.51
}


Entry 4:
{
  "formula": "HfTi2Fe2",
  "functional": "PBE-GGA",
  "state": "optimized geometry",
  "cell": [[1.496, -8.899, 0.000], [1.496, 8.899, 0.000], [0.000, 0.000, 2.953]],
  "species": ["Hf", "Ti", "Ti", "Fe", "Fe"],
  "fractional_positions": [[0.000, 0.000, 0.000], [0.174, 0.826, 0.000], [0.826, 0.174, 0.000], [0.404, 0.596, 0.500], [0.596, 0.404, 0.500]],
  "e_tot_ev_per_atom": -8.61,
  "dos_at_fermi_per_ev_cell": 5.08,
  "m_tot_mub_per_cell": 0.38,
  "space_group": "Cmmm, No. 65",
  "density_g_cm3": 8.15
}


Entry 5:
{
  "formula": "Hf2Ti6Fe",
  "functional": "PBE-GGA",
  "state": "optimized geometry",
  "cell": [[7.985, 0.000, 0.000], [-3.993, 6.915, 0.000], [0.000, 0.000, 2.881]],
  "species": ["Hf", "Hf", "Ti", "Ti", "Ti", "Ti", "Ti", "Ti", "Fe"],
  "fractional_positions": [[0.333, 0.667, 0.000], [0.667, 0.333, 0.000], [0.000, 0.321, 0.500], [0.000, 0.679, 0.500], [0.321, 0.000, 0.500], [0.321, 0.321, 0.500], [0.679, 0.000, 0.500], [0.679, 0.679, 0.500], [0.000, 0.000, 0.000]],
  "e_tot_ev_per_atom": -8.32,
  "dos_at_fermi_per_ev_cell": 10.15,
  "m_tot_mub_per_cell": 3.31,
  "space_group": "P6/mmm, No. 191",
  "density_g_cm3": 7.31
}


Entry 6:
{
  "formula": "Hf2TiFe",
  "functional": "PBE-GGA",
  "state": "optimized geometry",
  "cell": [[-3.649, 3.649, 2.818], [3.649, -3.649, 2.818], [3.649, 3.649, -2.818]],
  "species": ["Hf", "Hf", "Hf", "Hf", "Ti", "Ti", "Fe", "Fe"],
  "fractional_positions": [[0.073, 0.625, 0.948], [0.375, 0.323, 0.448], [0.677, 0.125, 0.052], [0.875, 0.927, 0.552], [0.250, 0.750, 0.500], [0.500, 0.500, 0.000], [0.000, 0.000, 0.000], [0.750, 0.250, 0.500]],
  "e_tot_ev_per_atom": -8.77,
  "dos_at_fermi_per_ev_cell": 6.25,
  "m_tot_mub_per_cell": 0.00,
  "space_group": "I-42d, No. 122",
  "density_g_cm3": 10.19
}